Material: Ba2CdAg4Pb3
Method: DFT, PBE
State: optimized geometry

Structure (extended XYZ):
```
10
Lattice="5.0158 0.0000 0.0000 0.0000 5.0158 0.0000 0.0000 0.0000 11.5307" Properties=species:S:1:pos:R:3 pbc="T T T"
Ba 0.0000 2.5079 2.7723
Ba 2.5079 0.0000 8.7584
Cd 0.0000 0.0000 5.7654
Ag 0.0000 0.0000 0.0000
Ag 0.0000 2.5079 7.2168
Ag 2.5079 0.0000 4.3140
Ag 2.5079 2.5079 0.0000
Pb 0.0000 2.5079 10.0467
Pb 2.5079 0.0000 1.4840
Pb 2.5079 2.5079 5.7654
```

Results
ρ (Mg/m³): 8.24
Density of states at the Fermi level (states/eV/f.u.): 4.8
Calculated formation energy (eV/atom): -0.25
E_tot (eV per atom): -2.98